Entry 1:
Computed, not measured: a relaxed MgHgMo2 crystal at the GGA-PBE level of DFT.

Results
The formation energy comes out at 0.3912 eV per atom. As for the space-group type: P2/m. For the theoretical density, the calculation gives 9.853 Mg/m³. For the energy relative to the lowest polymorph listed for this composition, the calculation gives 0.185 eV per atom. For the calculated volume, the calculation gives 17.56 Å³/atom.

Geometry as POSCAR:
```
MgHgMo2
1.0
-3.062 2.915 -2.095
-0.762 -2.042 -1.727
-4.250 -2.713 2.437
Mo Mg Hg
2 1 1
Cartesian
-4.176 -2.699 2.349 Mo
-2.580 -2.392 0.443 Mo
-5.290 -2.109 -0.515 Mg
-2.784 0.269 -0.870 Hg
```



Entry 2:
Computed, not measured: a relaxed MgHgMo3 crystal at the GGA-PBE level of DFT.

Results
The formation energy comes out at 2.3849 eV per atom. As for the space-group type: Pm-3m. For the theoretical density, the calculation gives 6.941 Mg/m³. For the energy relative to the lowest polymorph listed for this composition, the calculation gives 0.342 eV per atom. For the calculated volume, the calculation gives 24.53 Å³/atom.

Geometry as POSCAR:
```
MgHgMo3
1.0
4.969 0.000 0.000
0.000 4.969 0.000
0.000 0.000 4.969
Mg Mo Hg
1 3 1
Cartesian
2.484 2.484 2.484 Mg
2.484 0.000 0.000 Mo
0.000 2.484 0.000 Mo
0.000 0.000 2.484 Mo
0.000 0.000 0.000 Hg
```



Entry 3:
Computed, not measured: a relaxed MgHgMo2 crystal at the GGA-PBE level of DFT.

Results
The formation energy comes out at 0.3860 eV per atom. As for the space-group type: Cm. For the theoretical density, the calculation gives 9.815 Mg/m³. For the energy relative to the lowest polymorph listed for this composition, the calculation gives 0.180 eV per atom. For the calculated volume, the calculation gives 17.63 Å³/atom.

Geometry as POSCAR:
```
MgHgMo2
1.0
-3.564 3.229 1.104
-4.414 1.869 -1.168
-2.708 -3.462 3.086
Mo Hg Mg
2 1 1
Cartesian
-2.536 0.481 0.661 Mo
-0.067 -0.072 0.068 Mo
-5.411 0.770 1.565 Hg
-8.015 1.274 2.238 Mg
```



Entry 4:
Computed, not measured: a relaxed MgHg2Mo crystal at the GGA-PBE level of DFT.

Results
The formation energy comes out at 0.3229 eV per atom. As for the space-group type: Pmm2. For the theoretical density, the calculation gives 11.380 Mg/m³. For the calculated volume, the calculation gives 19.02 Å³/atom.

Geometry as POSCAR:
```
MgHg2Mo
1.0
-1.333 -4.644 0.341
2.441 -0.562 1.892
-2.830 1.104 3.977
Hg Mo Mg
2 1 1
Cartesian
-2.281 0.938 3.872 Hg
-1.293 -2.029 1.717 Hg
-1.473 -1.763 4.632 Mo
0.302 0.126 2.901 Mg
```